1.
Material: CuHg2Ir
Method: DFT, PBE
State: optimized geometry Values from VASP.

Summary:
ΔH_f (0 K) in eV per atom: 0.41
Spin magnetization in μB per cell: 0.00

```
&SYSTEM
  ibrav = 0, nat = 4, ntyp = 3
/
ATOMIC_SPECIES
Cu 63.55 Cu.upf
Hg 200.59 Hg.upf
Ir 192.22 Ir.upf
ATOMIC_POSITIONS crystal
Cu 0.500 0.750 0.750
Hg 0.000 0.003 0.996
Hg 0.000 0.497 0.504
Ir 0.500 0.250 0.250
CELL_PARAMETERS angstrom
-2.694 1.946 -1.961
-1.060 -2.603 -1.128
-4.751 -3.082 3.468
```



2.
Material: CuHgIr2
Method: DFT, PBE
State: optimized geometry Values from VASP.

Summary:
ΔH_f (0 K) in eV per atom: 0.61
Spin magnetization in μB per cell: 0.58

```
&SYSTEM
  ibrav = 0, nat = 4, ntyp = 3
/
ATOMIC_SPECIES
Ir 192.22 Ir.upf
Hg 200.59 Hg.upf
Cu 63.55 Cu.upf
ATOMIC_POSITIONS crystal
Ir 0.250 0.250 0.250
Ir 0.750 0.750 0.750
Hg 0.500 0.500 0.500
Cu 0.000 0.000 0.000
CELL_PARAMETERS angstrom
-0.756 -0.121 4.385
1.583 3.231 2.621
-2.792 2.926 1.859
```



3.
Material: CuHg2Ir
Method: DFT, PBE
State: optimized geometry Values from VASP.

Summary:
ΔH_f (0 K) in eV per atom: 0.50
Spin magnetization in μB per cell: 0.00

```
&SYSTEM
  ibrav = 0, nat = 4, ntyp = 3
/
ATOMIC_SPECIES
Cu 63.55 Cu.upf
Hg 200.59 Hg.upf
Ir 192.22 Ir.upf
ATOMIC_POSITIONS crystal
Cu 0.500 0.500 0.500
Hg 0.000 0.000 0.000
Hg 0.250 0.250 0.250
Ir 0.750 0.750 0.750
CELL_PARAMETERS angstrom
4.619 0.000 0.000
2.309 4.000 0.000
2.309 1.333 3.771
```



4.
Material: CuHgIr2
Method: DFT, PBE
State: optimized geometry Values from VASP.

Summary:
ΔH_f (0 K) in eV per atom: 0.53
Spin magnetization in μB per cell: 0.78

```
&SYSTEM
  ibrav = 0, nat = 4, ntyp = 3
/
ATOMIC_SPECIES
Cu 63.55 Cu.upf
Hg 200.59 Hg.upf
Ir 192.22 Ir.upf
ATOMIC_POSITIONS crystal
Cu 0.500 0.500 0.500
Hg 0.750 0.750 0.750
Ir 0.000 0.000 0.000
Ir 0.250 0.250 0.250
CELL_PARAMETERS angstrom
4.461 0.000 0.000
2.231 3.864 0.000
2.231 1.288 3.643
```



5.
Material: CuHgIr2
Method: DFT, PBE
State: optimized geometry Values from VASP.

Summary:
ΔH_f (0 K) in eV per atom: 0.46
Spin magnetization in μB per cell: 0.00

```
&SYSTEM
  ibrav = 0, nat = 4, ntyp = 3
/
ATOMIC_SPECIES
Cu 63.55 Cu.upf
Hg 200.59 Hg.upf
Ir 192.22 Ir.upf
ATOMIC_POSITIONS crystal
Cu 0.500 0.500 0.000
Hg 0.750 0.250 0.500
Ir 0.000 0.000 0.000
Ir 0.250 0.750 0.500
CELL_PARAMETERS angstrom
-4.429 0.334 1.670
-0.108 -2.701 3.901
3.037 3.444 -1.199
```



6.
Material: Cu2HgIr
Method: DFT, PBE
State: optimized geometry Values from VASP.

Summary:
ΔH_f (0 K) in eV per atom: 0.57
Spin magnetization in μB per cell: 0.00

```
&SYSTEM
  ibrav = 0, nat = 8, ntyp = 3
/
ATOMIC_SPECIES
Ir 192.22 Ir.upf
Hg 200.59 Hg.upf
Cu 63.55 Cu.upf
ATOMIC_POSITIONS crystal
Ir 0.500 0.500 0.000
Ir 0.250 0.750 0.500
Hg 0.000 0.000 0.000
Hg 0.750 0.250 0.500
Cu 0.588 0.125 0.250
Cu 0.162 0.625 0.250
Cu 0.375 0.412 0.750
Cu 0.875 0.838 0.750
CELL_PARAMETERS angstrom
3.860 0.000 0.000
0.000 3.860 0.000
1.930 1.930 9.003
```



7.
Material: CuHgIr2
Method: DFT, PBE
State: optimized geometry Values from VASP.

Summary:
ΔH_f (0 K) in eV per atom: 0.42
Spin magnetization in μB per cell: 0.00

```
&SYSTEM
  ibrav = 0, nat = 4, ntyp = 3
/
ATOMIC_SPECIES
Cu 63.55 Cu.upf
Hg 200.59 Hg.upf
Ir 192.22 Ir.upf
ATOMIC_POSITIONS crystal
Cu 0.000 0.000 0.486
Hg 0.500 0.500 0.743
Ir 0.000 0.000 0.017
Ir 0.500 0.500 0.255
CELL_PARAMETERS angstrom
-0.711 2.323 1.398
-1.451 -2.374 0.336
5.738 -2.504 7.079
```



8.
Material: CuHgIr2
Method: DFT, PBE
State: optimized geometry Values from VASP.

Summary:
ΔH_f (0 K) in eV per atom: 0.56
Spin magnetization in μB per cell: 0.36

```
&SYSTEM
  ibrav = 0, nat = 4, ntyp = 3
/
ATOMIC_SPECIES
Cu 63.55 Cu.upf
Hg 200.59 Hg.upf
Ir 192.22 Ir.upf
ATOMIC_POSITIONS crystal
Cu 0.500 0.000 0.500
Hg 0.000 0.500 0.500
Ir 0.000 0.000 0.000
Ir 0.500 0.500 0.000
CELL_PARAMETERS angstrom
4.889 -0.023 0.000
-1.829 4.534 0.000
0.000 0.000 2.839
```